Entry 1:
Computed, not measured: a geometry-optimized SrTiNiRh2 structure at the GGA-PBE level of DFT.

Computed properties:
Mass density   6.4 g/cm³
Electronic total energy   -5.138 eV/atom
Density of states at the Fermi level   14.374 states/eV per cell
Calculated formation energy   0.87 eV per atom

CIF file:
```
data_SrTiNiRh2
_chemical_formula_sum 'Sr1 Ti1 Ni1 Rh2'
_symmetry_space_group_name_H-M 'P 1'
_symmetry_Int_Tables_number 1
_symmetry_space_group_name_Hall 'P 1'
_cell_length_a 4.6696
_cell_length_b 4.7701
_cell_length_c 4.6696
_cell_angle_alpha 90.00
_cell_angle_beta 90.00
_cell_angle_gamma 90.00
loop_
_atom_site_label
_atom_site_fract_x
_atom_site_fract_y
_atom_site_fract_z
_atom_site_occupancy
Rh1 0.0000 0.0000 0.5000 1
Ni1 0.0000 0.0000 0.0000 1
Rh2 0.5000 0.0000 0.0000 1
Ti1 0.5000 0.5000 0.5000 1
Sr1 0.0000 0.5000 0.0000 1
```



Entry 2:
Computed, not measured: a geometry-optimized LiIrRh structure at the GGA-PBE level of DFT.

Computed properties:
Mass density   12.0 g/cm³
Electronic total energy   -6.090 eV/atom
Density of states at the Fermi level   6.188 states/eV per cell
Calculated formation energy   -0.05 eV per atom
Distance to the lowest polymorph of the same formula   40 meV/atom

CIF file:
```
data_LiIrRh
_chemical_formula_sum 'Li2 Ir2 Rh2'
_symmetry_space_group_name_H-M 'P 1'
_symmetry_Int_Tables_number 1
_symmetry_space_group_name_Hall 'P 1'
_cell_length_a 2.6860
_cell_length_b 4.6783
_cell_length_c 7.3903
_cell_angle_alpha 113.05
_cell_angle_beta 100.47
_cell_angle_gamma 90.00
loop_
_atom_site_label
_atom_site_fract_x
_atom_site_fract_y
_atom_site_fract_z
_atom_site_occupancy
Li1 0.9181 0.2874 0.8361 1
Rh1 0.2430 0.2425 0.4861 1
Rh2 0.7570 0.7575 0.5139 1
Ir1 0.4162 0.7883 0.8324 1
Li2 0.0819 0.7126 0.1639 1
Ir2 0.5838 0.2117 0.1676 1
```



Entry 3:
Computed, not measured: a geometry-optimized RbNdPb4 structure at the GGA-PBE level of DFT.

Computed properties:
Mass density   8.6 g/cm³
Electronic total energy   -3.585 eV/atom
Density of states at the Fermi level   0.456 states/eV per cell
Calculated formation energy   -0.16 eV per atom

CIF file:
```
data_RbNdPb4
_chemical_formula_sum 'Rb1 Nd1 Pb4'
_symmetry_space_group_name_H-M 'P 1'
_symmetry_Int_Tables_number 1
_symmetry_space_group_name_Hall 'P 1'
_cell_length_a 6.6163
_cell_length_b 6.6163
_cell_length_c 6.6163
_cell_angle_alpha 60.00
_cell_angle_beta 60.00
_cell_angle_gamma 60.00
loop_
_atom_site_label
_atom_site_fract_x
_atom_site_fract_y
_atom_site_fract_z
_atom_site_occupancy
Pb1 0.6265 0.1204 0.6265 1
Nd1 0.0000 0.0000 0.0000 1
Pb2 0.6265 0.6265 0.1204 1
Pb3 0.6265 0.6265 0.6265 1
Pb4 0.1204 0.6265 0.6265 1
Rb1 0.2500 0.2500 0.2500 1
```



Entry 4:
Computed, not measured: a geometry-optimized Cs2BaCd structure at the GGA-PBE level of DFT.

Computed properties:
Mass density   3.7 g/cm³
Electronic total energy   -0.883 eV/atom
Density of states at the Fermi level   4.045 states/eV per cell
Calculated formation energy   0.25 eV per atom
Distance to the lowest polymorph of the same formula   114 meV/atom

CIF file:
```
data_Cs2BaCd
_chemical_formula_sum 'Cs2 Ba1 Cd1'
_symmetry_space_group_name_H-M 'P 1'
_symmetry_Int_Tables_number 1
_symmetry_space_group_name_Hall 'P 1'
_cell_length_a 6.9173
_cell_length_b 6.9173
_cell_length_c 6.9173
_cell_angle_alpha 60.00
_cell_angle_beta 60.00
_cell_angle_gamma 60.00
loop_
_atom_site_label
_atom_site_fract_x
_atom_site_fract_y
_atom_site_fract_z
_atom_site_occupancy
Cs1 0.7500 0.7500 0.7500 1
Cd1 0.0000 0.0000 0.0000 1
Ba1 0.5000 0.5000 0.5000 1
Cs2 0.2500 0.2500 0.2500 1
```



Entry 5:
Computed, not measured: a geometry-optimized Tb2CSe structure at the GGA-PBE level of DFT.

Computed properties:
Mass density   8.2 g/cm³
Electronic total energy   -6.580 eV/atom
Density of states at the Fermi level   0.048 states/eV per cell
Uncorrected formation energy   -4.35 eV/f.u.

CIF file:
```
data_Tb2CSe
_chemical_formula_sum 'Tb2 C1 Se1'
_symmetry_space_group_name_H-M 'P 1'
_symmetry_Int_Tables_number 1
_symmetry_space_group_name_Hall 'P 1'
_cell_length_a 3.7565
_cell_length_b 3.7565
_cell_length_c 7.1115
_cell_angle_alpha 74.69
_cell_angle_beta 74.69
_cell_angle_gamma 60.00
loop_
_atom_site_label
_atom_site_fract_x
_atom_site_fract_y
_atom_site_fract_z
_atom_site_occupancy
C1 0.6676 0.6676 0.9972 1
Tb1 0.0667 0.0667 0.7999 1
Se1 0.4991 0.4991 0.5026 1
Tb2 0.2665 0.2665 0.2004 1
```



Entry 6:
Computed, not measured: a geometry-optimized PmPrCuHg structure at the GGA-PBE level of DFT.

Computed properties:
Mass density   8.9 g/cm³
Electronic total energy   -3.781 eV/atom
Density of states at the Fermi level   4.239 states/eV per cell
Calculated formation energy   -0.30 eV per atom
Distance to the lowest polymorph of the same formula   0 meV/atom

CIF file:
```
data_PmPrCuHg
_chemical_formula_sum 'Pm1 Pr1 Cu1 Hg1'
_symmetry_space_group_name_H-M 'P 1'
_symmetry_Int_Tables_number 1
_symmetry_space_group_name_Hall 'P 1'
_cell_length_a 3.6910
_cell_length_b 3.6910
_cell_length_c 7.5629
_cell_angle_alpha 90.00
_cell_angle_beta 90.00
_cell_angle_gamma 90.00
loop_
_atom_site_label
_atom_site_fract_x
_atom_site_fract_y
_atom_site_fract_z
_atom_site_occupancy
Pr1 0.5000 0.5000 0.1263 1
Pm1 0.5000 0.5000 0.5851 1
Cu1 0.0000 0.0000 0.3673 1
Hg1 0.0000 0.0000 0.8493 1
```



Entry 7:
Computed, not measured: a geometry-optimized NaTcNi structure at the GGA-PBE level of DFT.

Computed properties:
Mass density   6.1 g/cm³
Electronic total energy   -5.581 eV/atom
Density of states at the Fermi level   4.821 states/eV per cell
Calculated formation energy   0.24 eV per atom
Distance to the lowest polymorph of the same formula   0 meV/atom

CIF file:
```
data_NaTcNi
_chemical_formula_sum 'Na2 Tc2 Ni2'
_symmetry_space_group_name_H-M 'P 1'
_symmetry_Int_Tables_number 1
_symmetry_space_group_name_Hall 'P 1'
_cell_length_a 2.7180
_cell_length_b 2.7175
_cell_length_c 13.3036
_cell_angle_alpha 90.00
_cell_angle_beta 90.15
_cell_angle_gamma 90.00
loop_
_atom_site_label
_atom_site_fract_x
_atom_site_fract_y
_atom_site_fract_z
_atom_site_occupancy
Na1 0.2556 0.2500 0.8734 1
Ni1 0.7526 0.7500 0.7021 1
Tc1 0.7489 0.7500 0.4214 1
Ni2 0.2474 0.2500 0.2979 1
Na2 0.7444 0.7500 0.1267 1
Tc2 0.2511 0.2500 0.5786 1
```



Entry 8:
Computed, not measured: a geometry-optimized Ac6Rh3Au2Br structure at the GGA-PBE level of DFT.

Computed properties:
Mass density   9.4 g/cm³
Electronic total energy   -5.465 eV/atom
Density of states at the Fermi level   5.240 states/eV per cell
Uncorrected formation energy   -10.65 eV/f.u.

CIF file:
```
data_Ac6Rh3Au2Br
_chemical_formula_sum 'Ac6 Rh3 Au2 Br1'
_symmetry_space_group_name_H-M 'P 1'
_symmetry_Int_Tables_number 1
_symmetry_space_group_name_Hall 'P 1'
_cell_length_a 4.3410
_cell_length_b 9.2331
_cell_length_c 10.1847
_cell_angle_alpha 107.17
_cell_angle_beta 102.30
_cell_angle_gamma 90.00
loop_
_atom_site_label
_atom_site_fract_x
_atom_site_fract_y
_atom_site_fract_z
_atom_site_occupancy
Rh1 0.5000 0.5000 0.0000 1
Ac1 0.6611 0.5981 0.3222 1
Rh2 0.8351 0.1688 0.6702 1
Br1 0.5000 0.0000 0.0000 1
Rh3 0.1649 0.8312 0.3298 1
Ac2 0.0080 0.7224 0.0160 1
Au1 0.1635 0.3267 0.3269 1
Ac3 0.3231 0.9352 0.6462 1
Au2 0.8365 0.6733 0.6731 1
Ac4 0.9920 0.2776 0.9840 1
Ac5 0.6769 0.0648 0.3538 1
Ac6 0.3389 0.4019 0.6778 1
```



Please write out number 5 again, unchanged.
Computed, not measured: a geometry-optimized Tb2CSe structure at the GGA-PBE level of DFT.

Computed properties:
Mass density   8.2 g/cm³
Electronic total energy   -6.580 eV/atom
Density of states at the Fermi level   0.048 states/eV per cell
Uncorrected formation energy   -4.35 eV/f.u.

CIF file:
```
data_Tb2CSe
_chemical_formula_sum 'Tb2 C1 Se1'
_symmetry_space_group_name_H-M 'P 1'
_symmetry_Int_Tables_number 1
_symmetry_space_group_name_Hall 'P 1'
_cell_length_a 3.7565
_cell_length_b 3.7565
_cell_length_c 7.1115
_cell_angle_alpha 74.69
_cell_angle_beta 74.69
_cell_angle_gamma 60.00
loop_
_atom_site_label
_atom_site_fract_x
_atom_site_fract_y
_atom_site_fract_z
_atom_site_occupancy
C1 0.6676 0.6676 0.9972 1
Tb1 0.0667 0.0667 0.7999 1
Se1 0.4991 0.4991 0.5026 1
Tb2 0.2665 0.2665 0.2004 1
```



Number 7 is which compound?
NaTcNi